Computed, not measured: a relaxed structure of Mn3HOs at the PBE level of DFT.

Structure (extended XYZ):
```
10
Lattice="2.526 -4.349 0.000 2.526 4.349 0.000 0.000 0.000 4.668" Properties=species:S:1:pos:R:3 pbc="T T T"
H 2.526 -3.197 3.501
H 2.526 3.197 1.167
Mn 1.511 -1.849 1.167
Os 2.526 0.590 1.167
Mn 0.000 0.000 0.000
Mn 1.511 1.849 3.501
Mn 3.542 1.849 3.501
Os 2.526 -0.590 3.501
Mn 0.000 0.000 2.334
Mn 3.542 -1.849 1.167
```

Results
As for the polymorph energy (0 for the lowest one): 1.664 eV/f.u.

***

Computed, not measured: a relaxed structure of ThAlIn2 at the PBE level of DFT.

Structure (extended XYZ):
```
4
Lattice="4.739 0.000 0.000 0.000 4.593 0.000 0.000 0.000 4.593" Properties=species:S:1:pos:R:3 pbc="T T T"
Th 2.370 2.296 2.296
In 0.000 2.296 0.000
Al 2.370 0.000 0.000
In 0.000 0.000 2.296
```

Results
As for the polymorph energy (0 for the lowest one): 0.000 eV/f.u. The calculation puts the formation enthalpy at 0 K at -7.0 kcal/mol of atoms.

***

Computed, not measured: a relaxed structure of DyCuI2 at the PBE level of DFT.

Structure (extended XYZ):
```
4
Lattice="-2.574 -3.082 -0.305 0.090 -2.975 2.713 -6.892 2.533 5.996" Properties=species:S:1:pos:R:3 pbc="T T T"
I -4.462 -4.571 4.102
Dy 0.000 0.000 0.000
Cu -4.688 -1.762 4.202
I -4.914 1.048 4.302
```

Results
The formation energy without anion corrections is -16.4 kJ/mol of atoms.

***

Computed, not measured: a relaxed structure of AcP2Pt3 at the PBE level of DFT.

Structure (extended XYZ):
```
6
Lattice="4.339 0.000 -1.587 -0.678 4.203 -1.854 0.007 -0.467 6.745" Properties=species:S:1:pos:R:3 pbc="T T T"
Pt 2.699 2.955 4.015
Ac 2.173 -0.234 2.579
Pt -0.335 1.868 2.446
P 0.450 2.118 4.591
Pt 0.970 0.781 -0.711
P 3.219 1.618 -1.287
```

Results
The calculation puts the formation enthalpy at 0 K at -21.4 kcal/mol of atoms.

***

Computed, not measured: a relaxed structure of Nd3SbAs2Pd9 at the PBE level of DFT.

Structure (extended XYZ):
```
15
Lattice="6.547 0.000 0.000 -3.274 5.670 0.000 0.000 0.000 9.155" Properties=species:S:1:pos:R:3 pbc="T T T"
As 0.000 3.780 1.577
Pd 5.137 0.814 6.617
Pd 3.274 4.041 6.617
Pd 3.274 0.000 0.000
Pd 1.863 4.856 2.538
As 3.274 1.890 7.578
Nd 0.000 3.780 6.571
Pd -1.637 2.835 0.000
Pd 0.000 1.629 2.538
Pd 1.411 0.814 6.617
Sb 0.000 0.000 4.577
Pd -1.863 4.856 2.538
Nd 0.000 0.000 0.000
Nd 3.274 1.890 2.584
Pd 1.637 2.835 0.000
```

Results
The formation energy without anion corrections is -53.6 kJ/mol of atoms.

***

Computed, not measured: a relaxed structure of RbGeP at the PBE level of DFT.

Structure (extended XYZ):
```
6
Lattice="3.681 0.000 0.000 0.000 9.613 -0.657 0.000 -5.406 5.806" Properties=species:S:1:pos:R:3 pbc="T T T"
Rb 3.203 4.030 4.771
Ge 3.203 5.956 1.605
Ge 3.203 3.438 1.041
Rb 1.363 -0.488 4.014
P 1.362 7.098 0.694
P 1.362 2.273 1.909
```

Results
The calculation puts the formation enthalpy at 0 K at -4.7 kcal/mol of atoms.

***

Computed, not measured: a relaxed structure of PmEr2Ag3 at the PBE level of DFT.

Structure (extended XYZ):
```
6
Lattice="3.616 0.000 0.000 0.000 3.616 0.000 0.000 0.000 11.101" Properties=species:S:1:pos:R:3 pbc="T T T"
Er 1.808 1.808 1.802
Er 1.808 1.808 9.299
Ag 0.000 0.000 0.000
Ag 0.000 0.000 3.545
Pm 1.808 1.808 5.551
Ag 0.000 0.000 7.556
```

Results
The calculation puts the formation enthalpy at 0 K at -7.3 kcal/mol of atoms.

***

Computed, not measured: a relaxed structure of DyTaRe4 at the PBE level of DFT.

Structure (extended XYZ):
```
6
Lattice="-0.616 4.507 -2.732 0.670 0.024 -5.263 -4.185 0.609 -3.205" Properties=species:S:1:pos:R:3 pbc="T T T"
Dy -1.033 1.285 -2.800
Re -0.485 2.909 -5.397
Re -2.274 0.955 -5.634
Ta 0.000 0.000 0.000
Re -2.582 3.214 -7.003
Re -2.918 3.202 -4.365
```

Results
The calculation puts the formation enthalpy at 0 K at -1.6 kcal/mol of atoms.

***

Computed, not measured: a relaxed structure of Ca3MnCd at the PBE level of DFT.

Structure (extended XYZ):
```
5
Lattice="5.844 0.000 0.000 0.000 5.844 0.000 0.000 0.000 5.844" Properties=species:S:1:pos:R:3 pbc="T T T"
Mn 2.922 2.922 2.922
Ca 0.000 2.922 0.000
Ca 0.000 0.000 2.922
Cd 0.000 0.000 0.000
Ca 2.922 0.000 0.000
```

Results
As for the polymorph energy (0 for the lowest one): 0.738 eV/f.u. The calculation puts the formation enthalpy at 0 K at 11.9 kcal/mol of atoms.

***

Computed, not measured: a relaxed structure of Ce5TmRu5 at the PBE level of DFT.

Structure (extended XYZ):
```
11
Lattice="5.400 0.000 0.000 -2.700 5.910 -0.382 0.000 -2.654 8.283" Properties=species:S:1:pos:R:3 pbc="T T T"
Ru 2.700 3.764 1.342
Ce 0.000 -1.327 4.142
Ce 0.000 3.500 1.037
Ru 0.000 -0.507 6.559
Ce 0.000 2.078 5.286
Tm 0.000 0.000 0.000
Ce 2.700 -0.244 6.864
Ru 2.700 0.000 0.000
Ru 2.700 2.492 5.201
Ce 2.700 1.179 2.615
Ru 0.000 0.765 2.700
```

Results
The calculation puts the formation enthalpy at 0 K at -5.4 kcal/mol of atoms.

***

Computed, not measured: a relaxed structure of CsLi2U2S6 at the PBE level of DFT.

Structure (extended XYZ):
```
11
Lattice="7.197 -0.310 0.199 3.234 8.245 0.371 0.347 -4.910 4.897" Properties=species:S:1:pos:R:3 pbc="T T T"
S 2.251 0.328 3.894
U 7.374 -1.609 4.367
Li 6.790 1.015 2.129
Li 3.989 2.010 3.338
S 3.737 4.447 3.726
S 4.979 2.440 1.008
S 7.041 -1.422 1.741
Cs 3.772 -2.610 2.548
S 8.527 2.697 1.574
S 5.800 0.585 4.459
U 3.404 4.634 1.100
```

Results
The formation energy without anion corrections is -124.7 kJ/mol of atoms.

***

Computed, not measured: a relaxed structure of ZrOs2F at the PBE level of DFT.

Structure (extended XYZ):
```
8
Lattice="3.510 0.000 0.000 0.000 3.510 0.000 1.755 1.755 10.576" Properties=species:S:1:pos:R:3 pbc="T T T"
Os 4.387 4.375 7.932
F 1.755 1.755 0.000
F 1.755 3.510 5.288
Os 2.620 0.877 2.644
Zr 0.000 0.000 0.000
Os 2.632 2.645 7.932
Zr 3.510 1.755 5.288
Os 0.890 2.632 2.644
```

Results
As for the polymorph energy (0 for the lowest one): 0.000 eV/f.u. The formation energy without anion corrections is -18.9 kJ/mol of atoms.

***

Computed, not measured: a relaxed structure of Np2P3Ir4Pd at the PBE level of DFT.

Structure (extended XYZ):
```
10
Lattice="3.936 0.000 0.000 0.000 3.936 0.000 0.000 0.000 10.888" Properties=species:S:1:pos:R:3 pbc="T T T"
Ir 1.968 1.968 0.000
Ir 0.000 0.000 0.000
P 0.000 0.000 5.444
P 1.968 0.000 9.539
Ir 1.968 0.000 7.301
Np 1.968 0.000 2.766
P 0.000 1.968 1.349
Pd 1.968 1.968 5.444
Np 0.000 1.968 8.122
Ir 0.000 1.968 3.588
```

Results
The calculation puts the formation enthalpy at 0 K at -13.1 kcal/mol of atoms.

***

Computed, not measured: a relaxed structure of Cu2HI at the PBE level of DFT.

Structure (extended XYZ):
```
4
Lattice="0.000 3.162 3.162 3.162 0.000 3.162 3.162 3.162 0.000" Properties=species:S:1:pos:R:3 pbc="T T T"
Cu 1.581 1.581 1.581
I 3.162 3.162 3.162
Cu 4.743 4.743 4.743
H 0.000 0.000 0.000
```

Results
As for the polymorph energy (0 for the lowest one): 2.457 eV/f.u.

***

Computed, not measured: a relaxed structure of K3Fe at the PBE level of DFT.

Structure (extended XYZ):
```
4
Lattice="4.106 -0.017 0.000 0.022 4.106 0.000 0.000 0.000 11.826" Properties=species:S:1:pos:R:3 pbc="T T T"
Fe 0.000 0.000 0.000
K 0.000 0.000 5.913
K 2.064 2.044 9.736
K 2.064 2.044 2.090
```

Results
As for the polymorph energy (0 for the lowest one): 0.000 eV/f.u. The calculation puts the formation enthalpy at 0 K at 17.4 kcal/mol of atoms.

***

Computed, not measured: a relaxed structure of K2YFe at the PBE level of DFT.

Structure (extended XYZ):
```
4
Lattice="-0.548 7.109 -2.659 -5.957 2.082 -4.253 3.098 -2.398 6.523" Properties=species:S:1:pos:R:3 pbc="T T T"
K -0.308 4.592 0.250
Y -2.750 3.885 -2.922
K -0.364 0.515 -0.387
Fe -3.237 2.397 -0.786
```

Results
As for the polymorph energy (0 for the lowest one): 1.005 eV/f.u. The calculation puts the formation enthalpy at 0 K at 17.4 kcal/mol of atoms.

***

Computed, not measured: a relaxed structure of PmTiFe4 at the PBE level of DFT.

Structure (extended XYZ):
```
6
Lattice="5.035 0.000 0.000 2.518 4.360 0.000 2.518 1.453 4.111" Properties=species:S:1:pos:R:3 pbc="T T T"
Fe 3.784 3.629 2.566
Pm 0.000 0.000 0.000
Ti 2.518 1.453 1.028
Fe 6.286 3.629 2.566
Fe 5.035 2.907 0.524
Fe 5.035 1.463 2.566
```

Results
The calculation puts the formation enthalpy at 0 K at -0.9 kcal/mol of atoms.

***

Computed, not measured: a relaxed structure of Mg2GaAgH at the PBE level of DFT.

Structure (extended XYZ):
```
5
Lattice="-3.607 3.090 2.398 -2.472 -1.668 -1.568 -0.251 -3.438 4.053" Properties=species:S:1:pos:R:3 pbc="T T T"
Mg -0.126 -1.719 2.026
Ga 0.000 0.000 0.000
Mg -1.803 1.545 1.199
Ag -3.165 -1.008 2.441
H -1.236 -0.834 -0.784
```

Results
As for the polymorph energy (0 for the lowest one): 1.460 eV/f.u.

***

Computed, not measured: a relaxed structure of Al3InNi at the PBE level of DFT.

Structure (extended XYZ):
```
5
Lattice="4.596 0.000 0.000 0.000 4.596 0.000 0.000 0.000 4.596" Properties=species:S:1:pos:R:3 pbc="T T T"
Al 0.000 2.298 0.000
Al 2.298 0.000 0.000
Al 0.000 0.000 2.298
Ni 0.000 0.000 0.000
In 2.298 2.298 2.298
```

Results
As for the polymorph energy (0 for the lowest one): 0.000 eV/f.u. The calculation puts the formation enthalpy at 0 K at -0.8 kcal/mol of atoms.

***

Computed, not measured: a relaxed structure of Ca2InRu at the PBE level of DFT.

Structure (extended XYZ):
```
4
Lattice="9.876 -0.012 -0.007 9.274 3.396 -0.007 9.274 1.639 2.974" Properties=species:S:1:pos:R:3 pbc="T T T"
Ca 0.371 0.066 0.039
In 7.106 1.256 0.740
Ca 13.841 2.446 1.441
Ru 21.319 3.767 2.220
```

Results
The calculation puts the formation enthalpy at 0 K at 3.8 kcal/mol of atoms.

***

Computed, not measured: a relaxed structure of Er5In2Pt2 at the PBE level of DFT.

Structure (extended XYZ):
```
18
Lattice="-0.519 2.557 -6.766 2.036 -7.400 -2.952 -8.579 1.691 1.297" Properties=species:S:1:pos:R:3 pbc="T T T"
Er -1.784 -0.115 -5.044
Er 0.759 -2.422 -4.859
Er 0.000 0.000 0.000
Er -5.826 -0.710 -6.341
Er -0.310 -5.688 -4.759
Er -6.751 2.536 -3.662
Pt 1.211 -4.310 -2.766
In -4.560 0.136 -3.485
In -3.282 -4.842 -1.578
Er -0.858 -3.360 -7.723
Pt 1.444 -4.824 -6.864
Er -5.278 -3.037 -3.377
Pt 0.073 -0.019 -2.854
Er -1.236 -2.443 -2.080
Pt 0.306 -0.533 -6.952
In -2.502 -3.288 -4.936
In -3.261 -0.866 -0.077
Er -6.203 0.208 -0.698
```

Results
The calculation puts the formation enthalpy at 0 K at -17.8 kcal/mol of atoms.

***

Computed, not measured: a relaxed structure of KHgBr2 at the PBE level of DFT.

Structure (extended XYZ):
```
4
Lattice="-4.781 -3.097 -0.739 2.987 -4.793 1.052 -0.819 4.481 3.500" Properties=species:S:1:pos:R:3 pbc="T T T"
Hg -3.249 -1.281 1.459
Br -1.736 -7.635 0.303
Br -0.955 -4.200 0.167
K 0.635 -2.129 2.354
```

Results
As for the polymorph energy (0 for the lowest one): 0.489 eV/f.u. The formation energy without anion corrections is -81.4 kJ/mol of atoms.

***

Computed, not measured: a relaxed structure of K2Mg2Pb at the PBE level of DFT.

Structure (extended XYZ):
```
5
Lattice="-1.759 3.272 1.672 0.969 -1.375 3.710 9.996 6.812 2.150" Properties=species:S:1:pos:R:3 pbc="T T T"
K 1.749 2.158 2.580
Mg 3.921 5.516 3.257
Mg 5.285 3.193 4.276
K 7.456 6.551 4.953
Pb 0.000 0.000 0.000
```

Results
As for the polymorph energy (0 for the lowest one): 0.000 eV/f.u. The calculation puts the formation enthalpy at 0 K at 3.9 kcal/mol of atoms.

***

Computed, not measured: a relaxed structure of Rb4Na2F at the PBE level of DFT.

Structure (extended XYZ):
```
7
Lattice="-0.842 -0.364 -5.832 0.442 -5.879 0.303 -10.720 -3.833 -1.201" Properties=species:S:1:pos:R:3 pbc="T T T"
Rb -7.581 -3.620 -1.667
Na -7.620 -6.731 -4.455
Na -3.500 -3.345 -2.274
Rb 0.221 -2.940 0.152
Rb -0.421 -0.182 -2.916
Rb -3.539 -6.455 -5.062
F 0.000 0.000 0.000
```

Results
The formation energy without anion corrections is -64.4 kJ/mol of atoms.

***

Computed, not measured: a relaxed structure of TmPbAu2 at the PBE level of DFT.

Structure (extended XYZ):
```
4
Lattice="-2.720 2.627 -0.954 -3.223 -1.126 -1.886 -5.549 -0.717 5.878" Properties=species:S:1:pos:R:3 pbc="T T T"
Pb -5.746 0.392 1.519
Tm 0.000 0.000 0.000
Au -8.673 0.569 2.384
Au -2.818 0.215 0.655
```

Results
The calculation puts the formation enthalpy at 0 K at -10.6 kcal/mol of atoms.

***

Computed, not measured: a relaxed structure of TlV3Cd at the PBE level of DFT.

Structure (extended XYZ):
```
5
Lattice="-2.840 -4.261 0.594 4.302 -2.811 0.410 -0.015 0.721 5.104" Properties=species:S:1:pos:R:3 pbc="T T T"
Tl 0.000 0.000 0.000
V -1.420 -2.130 0.297
V -0.007 0.361 2.552
V 2.151 -1.405 0.205
Cd 0.723 -3.175 3.054
```

Results
The calculation puts the formation enthalpy at 0 K at 38.0 kcal/mol of atoms.